Entry from OQMD via LeMat-Bulk: crystalline Pr2PbAu at its relaxed geometry (GGA-PBE).

Cell and atoms, written as POSCAR:
```
Pr2PbAu
1.0
4.6982 0.0000 0.0000
0.0000 2.1372 5.9010
0.0000 -2.1372 5.9010
Pr Pb Au
2 1 1
Cartesian
0.0000 0.0000 0.0000
2.3491 0.0000 3.2915
2.3491 0.0000 6.5661
0.0000 0.0000 8.6366
```

Values from the calculation:
- VASP energy: -4.76 eV/atom
- SG: Amm2 (38)

Entry from OQMD via LeMat-Bulk: crystalline PrPbAuS3 at its relaxed geometry (GGA-PBE).

Cell and atoms, written as POSCAR:
```
PrPbAuS3
1.0
7.7056 0.0000 0.0000
0.0000 4.1092 0.0000
-2.6616 0.0000 9.6021
Pr Pb Au S
2 2 2 6
Cartesian
1.1243 1.0273 1.5476
3.9196 3.0819 8.0545
-0.1413 3.0819 6.7029
5.1853 1.0273 2.8992
1.6985 3.0819 4.0309
3.3455 1.0273 5.5712
-1.7470 1.0273 8.3103
0.2356 1.0273 4.3631
3.0707 3.0819 1.8990
1.9733 1.0273 7.7031
4.8084 3.0819 5.2389
6.7910 3.0819 1.2918
```

Values from the calculation:
- Relative energy among the computed polymorphs: 7 meV/atom
- SG: P2_1/m (11)